1.
# Li3Np2CrN6

A relaxed structure of Li3Np2CrN6 (GGA-PBE, the Alexandria database).

a = 5.691 Å, b = 5.691 Å, c = 5.287 Å
α = 98.21°, β = 98.21°, γ = 121.90°
Atoms (fractional coordinates):
N 0.391 0.071 0.209
Cr 0.000 0.000 0.000
N 0.263 0.263 0.784
Li 0.500 0.500 0.500
N 0.737 0.737 0.216
Li 0.139 0.861 0.500
N 0.929 0.609 0.791
Np 0.665 0.335 0.000
N 0.071 0.391 0.209
Li 0.861 0.139 0.500
N 0.609 0.929 0.791
Np 0.335 0.665 0.000

As for the space group: C2/m (12). The value obtained for the total energy is -8.367 eV per atom. Its uncorrected formation energy is -9.2 eV per formula unit.

***

2.
# KCu2AgCl8

A relaxed structure of KCu2AgCl8 (GGA-PBE, the Alexandria database).

a = 6.549 Å, b = 6.549 Å, c = 8.765 Å
α = 90.00°, β = 90.00°, γ = 120.00°
Atoms (fractional coordinates):
Cu 0.667 0.333 0.259
Cl 0.707 0.026 0.324
Cu 0.333 0.667 0.741
Cl 0.333 0.667 0.991
Cl 0.318 0.293 0.324
Cl 0.974 0.682 0.324
K 0.000 0.000 0.000
Cl 0.026 0.318 0.676
Cl 0.293 0.974 0.676
Ag 0.000 0.000 0.500
Cl 0.667 0.333 0.009
Cl 0.682 0.707 0.676

As for the space group: P-3 (147). The value obtained for the total energy is -2.841 eV per atom. Its uncorrected formation energy is -7.2 eV per formula unit.

***

3.
# K2InGa3Au4

A relaxed structure of K2InGa3Au4 (GGA-PBE, the Alexandria database).

a = 4.748 Å, b = 4.748 Å, c = 10.661 Å
α = 90.00°, β = 90.00°, γ = 90.00°
Atoms (fractional coordinates):
Au 0.500 0.500 0.000
K 0.500 0.000 0.241
K 0.000 0.500 0.759
Au 0.500 0.000 0.641
Ga 0.500 0.000 0.886
In 0.500 0.500 0.500
Ga 0.000 0.000 0.500
Ga 0.000 0.500 0.114
Au 0.000 0.500 0.359
Au 0.000 0.000 0.000

For the energy of formation, the calculation gives -312 meV per atom. As for the space group: P-4m2 (115). The value obtained for the total energy is -3.024 eV per atom.

***

4.
# KDyPbBr6

A relaxed structure of KDyPbBr6 (GGA-PBE, the Alexandria database).

a = 7.627 Å, b = 7.627 Å, c = 14.280 Å
α = 90.00°, β = 90.00°, γ = 120.00°
Atoms (fractional coordinates):
Br 0.352 0.976 0.635
Pb 0.333 0.667 0.250
Dy 0.667 0.333 0.250
Br 0.648 0.024 0.365
K 0.000 0.000 0.500
Br 0.024 0.376 0.635
K 0.000 0.000 0.000
Br 0.976 0.624 0.365
Br 0.624 0.648 0.635
Br 0.376 0.024 0.135
Br 0.624 0.976 0.865
Pb 0.667 0.333 0.750
Br 0.376 0.352 0.365
Br 0.976 0.352 0.135
Dy 0.333 0.667 0.750
Br 0.648 0.624 0.135
Br 0.024 0.648 0.865
Br 0.352 0.376 0.865

As for the space group: P-31c (163). The value obtained for the total energy is -3.714 eV per atom. Its uncorrected formation energy is -14.0 eV per formula unit.

***

5.
# Ca2Si3GePd4

A relaxed structure of Ca2Si3GePd4 (GGA-PBE, the Alexandria database).

a = 4.203 Å, b = 4.203 Å, c = 10.270 Å
α = 90.00°, β = 90.00°, γ = 90.00°
Atoms (fractional coordinates):
Si 0.000 0.000 0.500
Si 0.500 0.000 0.874
Ca 0.000 0.500 0.748
Pd 0.500 0.500 0.000
Si 0.000 0.500 0.126
Pd 0.500 0.000 0.637
Ge 0.500 0.500 0.500
Ca 0.500 0.000 0.252
Pd 0.000 0.500 0.363
Pd 0.000 0.000 0.000

As for the space group: P-4m2 (115). The value obtained for the total energy is -5.292 eV per atom. Its uncorrected formation energy is -7.3 eV per formula unit.

***

6.
# TlGe3Se3

A relaxed structure of TlGe3Se3 (GGA-PBE, the Alexandria database).

a = 8.928 Å, b = 8.928 Å, c = 7.991 Å
α = 56.04°, β = 56.04°, γ = 60.00°
Atoms (fractional coordinates):
Se 0.511 0.968 0.285
Tl 0.624 0.624 0.129
Se 0.489 0.032 0.715
Ge 0.460 0.764 0.689
Se 0.765 0.489 0.715
Se 0.032 0.765 0.715
Se 0.235 0.511 0.285
Ge 0.088 0.460 0.689
Ge 0.764 0.088 0.689
Ge 0.540 0.236 0.311
Se 0.968 0.235 0.285
Ge 0.912 0.540 0.311
Ge 0.236 0.912 0.311
Tl 0.376 0.376 0.871

As for the space group: R-3 (148). The value obtained for the total energy is -3.882 eV per atom. Its uncorrected formation energy is -0.5 eV per formula unit.

***

7.
# Ac2AlPb

A relaxed structure of Ac2AlPb (GGA-PBE, the Alexandria database).

a = 4.967 Å, b = 4.527 Å, c = 6.684 Å
α = 90.00°, β = 111.81°, γ = 90.00°
Atoms (fractional coordinates):
Pb 0.519 0.500 0.038
Ac 0.090 0.000 0.180
Ac 0.806 0.500 0.612
Al 0.369 0.000 0.738

For the energy of formation, the calculation gives -426 meV per atom. As for the space group: Amm2 (38). The value obtained for the total energy is -4.343 eV per atom.

***

8.
# YFe2Rh

A relaxed structure of YFe2Rh (GGA-PBE, the Alexandria database).

a = 5.337 Å, b = 5.337 Å, c = 4.248 Å
α = 66.51°, β = 66.51°, γ = 36.99°
Atoms (fractional coordinates):
Rh 0.750 0.750 0.750
Fe 0.014 0.014 0.986
Fe 0.486 0.486 0.514
Y 0.250 0.250 0.250

For the energy of formation, the calculation gives -24 meV per atom. As for the space group: Immm (71). The value obtained for the total energy is -7.709 eV per atom.

***

Number 1: density of states at the Fermi level 5.3 states/eV/cell, calculated density 7.54 g cm⁻³, magnetization 5.0 μB/f.u.. Number 2: density of states at the Fermi level 12.1 states/eV/cell, calculated density 2.84 g cm⁻³, magnetization 0.0 μB/f.u.. Number 3: density of states at the Fermi level 5.7 states/eV/cell, calculated density 8.22 g cm⁻³, magnetization 0.0 μB/f.u.. Number 4: density of states at the Fermi level 0.0 states/eV/cell, calculated density 4.10 g cm⁻³, magnetization 0.0 μB/f.u.. Number 5: density of states at the Fermi level 4.8 states/eV/cell, calculated density 6.07 g cm⁻³, magnetization 0.0 μB/f.u.. Number 6: density of states at the Fermi level 6.1 states/eV/cell, calculated density 5.19 g cm⁻³, magnetization 0.0 μB/f.u.. Number 7: density of states at the Fermi level 3.6 states/eV/cell, calculated density 8.19 g cm⁻³, magnetization 0.3 μB/f.u.. Number 8: density of states at the Fermi level 3.0 states/eV/cell, calculated density 7.63 g cm⁻³, magnetization 5.9 μB/f.u..